Density functional theory data (GGA+U) for a relaxed BaZrVO2 crystal.

Lattice parameters (Å, degrees): 4.1851 4.1851 4.9710 90.00 90.00 90.00
Last column: nearest neighbours and their distance in Å.
Fractional coordinates of all 5 atoms:
Ba  0.0000  0.0000  0.0000  4 Zr 2.96, 8 O 3.25
Zr  0.5000  0.5000  0.0000  2 V 2.49
V  0.5000  0.5000  0.5000  4 O 2.09
O  0.0000  0.5000  0.5000  2 V 2.09
O  0.5000  0.0000  0.5000  2 V 2.09

The space-group type is P4/mmm, No. 123. The uncorrected energy is -0.212 hartree per atom. As for the crystal system: tetragonal. The density of states at the Fermi level comes out at 0.751 states/eV per atom.